Record 1
Cs2NbAlF6 | GGA-PBE | relaxed

## Properties
- raw formation energy (eV per atom) = -2.43
- total moment (Bohr magnetons per cell) = 4.00

a = 6.448 Å, b = 6.448 Å, c = 9.824 Å
α = 90.00°, β = 90.00°, γ = 90.00°
Space group I4/mmm (No. 139)
One atom of each set of equivalent atoms:
Cs1 0.000 0.500 0.250 (multiplicity 4)
Nb1 0.000 0.000 0.000 (multiplicity 2)
Al1 0.000 0.000 0.500 (multiplicity 2)
F1 0.000 0.000 0.212 (multiplicity 4)
F2 0.235 0.235 0.000 (multiplicity 8)

Record 2
Y2Cd3 | GGA-PBE | relaxed

## Properties
- energy above the most stable polymorph in this dataset (eV/atom) = 0.036
- total moment (Bohr magnetons per cell) = 0.00

a = 10.827 Å, b = 15.334 Å, c = 6.264 Å
α = 90.00°, β = 90.00°, γ = 90.00°
Space group Fdd2 (No. 43)
One atom of each set of equivalent atoms:
Y1 0.075 0.304 0.000 (multiplicity 16)
Cd1 0.000 0.000 0.346 (multiplicity 8)
Cd2 0.068 0.382 0.484 (multiplicity 16)

Record 3
BC2 | GGA-PBE | relaxed

## Properties
- energy above the most stable polymorph in this dataset (eV/atom) = 0.126
- total moment (Bohr magnetons per cell) = 0.00

a = 8.218 Å, b = 3.691 Å, c = 5.238 Å
α = 90.00°, β = 105.20°, γ = 90.00°
Space group C2 (No. 5)
One atom of each set of equivalent atoms:
B1 0.005 0.000 0.250 (multiplicity 4)
B2 0.169 0.485 0.082 (multiplicity 4)
C1 0.000 0.712 0.500 (multiplicity 2)
C2 0.000 0.718 0.000 (multiplicity 2)
C3 0.159 0.247 0.814 (multiplicity 4)
C4 0.165 0.487 0.579 (multiplicity 4)
C5 0.179 0.239 0.346 (multiplicity 4)

Record 4
Li2Tl2Te | GGA-PBE | relaxed

## Properties
- energy above the most stable polymorph in this dataset (eV/atom) = 0.180
- raw formation energy (eV per atom) = -0.18
- total moment (Bohr magnetons per cell) = 0.00

a = 8.621 Å, b = 8.621 Å, c = 3.341 Å
α = 90.00°, β = 90.00°, γ = 90.00°
Space group P4/mbm (No. 127)
One atom of each set of equivalent atoms:
Li1 0.172 0.328 0.000 (multiplicity 4)
Tl1 0.132 0.632 0.500 (multiplicity 4)
Te1 0.000 0.000 0.500 (multiplicity 2)

Record 5
Pr2NdDyTm4 | GGA-PBE | relaxed

## Properties
- calculated total energy (eV/atom) = -4.19
- total moment (Bohr magnetons per cell) = 0.01

a = 6.788 Å, b = 11.858 Å, c = 13.232 Å
α = 90.00°, β = 90.00°, γ = 90.00°
Space group Imma (No. 74)
One atom of each set of equivalent atoms:
Pr1 0.000 0.000 0.000 (multiplicity 4)
Pr2 0.250 0.250 0.250 (multiplicity 4)
Nd1 0.000 0.000 0.500 (multiplicity 4)
Dy1 0.250 0.250 0.750 (multiplicity 4)
Tm1 0.000 0.005 0.750 (multiplicity 8)
Tm2 0.250 0.250 0.504 (multiplicity 8)

Record 6
KCaCl3 | GGA-PBE | relaxed

## Properties
- raw formation energy (eV per atom) = -2.21
- total moment (Bohr magnetons per cell) = 0.00

a = 8.536 Å, b = 4.173 Å, c = 8.693 Å
α = 90.00°, β = 96.52°, γ = 90.00°
Space group P2_1/m (No. 11)
One atom of each set of equivalent atoms:
K1 0.212 0.250 0.379 (multiplicity 2)
Ca1 0.340 0.250 0.840 (multiplicity 2)
Cl1 0.047 0.250 0.707 (multiplicity 2)
Cl2 0.333 0.750 0.057 (multiplicity 2)
Cl3 0.406 0.750 0.647 (multiplicity 2)

Record 7
NdTm2Sn | GGA-PBE | relaxed

## Properties
- energy above the most stable polymorph in this dataset (eV/atom) = 0.416
- total moment (Bohr magnetons per cell) = 0.00

a = 3.4594 Å, b = 3.4594 Å, c = 35.3947 Å
α = 90.00°, β = 90.00°, γ = 120.00°
Space group R-3m (No. 166, hexagonal axes)
One atom of each set of equivalent atoms:
Nd1 0.0000 0.0000 0.0000 (multiplicity 3)
Tm1 0.0000 0.0000 0.0960 (multiplicity 6)
Sn1 0.0000 0.0000 0.5000 (multiplicity 3)

Record 8
Tm2TiZn2Rh5 | GGA-PBE | relaxed

## Properties
- calculated total energy (eV/atom) = -6.30
- total moment (Bohr magnetons per cell) = 0.00

a = 9.800 Å, b = 9.800 Å, c = 3.451 Å
α = 90.00°, β = 90.00°, γ = 90.00°
Space group P4/mbm (No. 127)
One atom of each set of equivalent atoms:
Tm1 0.171 0.329 0.000 (multiplicity 4)
Ti1 0.000 0.000 0.000 (multiplicity 2)
Zn1 0.128 0.628 0.000 (multiplicity 4)
Rh1 0.000 0.500 0.500 (multiplicity 2)
Rh2 0.065 0.803 0.500 (multiplicity 8)

Record 9
AcMgInSb | GGA-PBE | relaxed

## Properties
- raw formation energy (eV per atom) = -0.35
- total moment (Bohr magnetons per cell) = 0.00

a = 7.809 Å, b = 7.809 Å, c = 7.809 Å
α = 90.00°, β = 90.00°, γ = 90.00°
Space group F-43m (No. 216)
One atom of each set of equivalent atoms:
Ac1 0.000 0.000 0.000 (multiplicity 4)
Mg1 0.000 0.000 0.500 (multiplicity 4)
In1 0.250 0.250 0.750 (multiplicity 4)
Sb1 0.250 0.250 0.250 (multiplicity 4)

Record 10
AcCuAg2O4 | GGA-PBE | relaxed

## Properties
- raw formation energy (eV per atom) = -1.10
- total moment (Bohr magnetons per cell) = 0.52

a = 5.993 Å, b = 5.993 Å, c = 6.509 Å
α = 90.00°, β = 90.00°, γ = 90.00°
Space group I-42m (No. 121)
One atom of each set of equivalent atoms:
Ac1 0.000 0.000 0.000 (multiplicity 2)
Cu1 0.000 0.000 0.500 (multiplicity 2)
Ag1 0.000 0.500 0.250 (multiplicity 4)
O1 0.188 0.188 0.306 (multiplicity 8)

Record 11
LaB2C | GGA-PBE | relaxed

## Properties
- calculated total energy (eV/atom) = -6.79
- total moment (Bohr magnetons per cell) = 0.00

a = 3.385 Å, b = 18.113 Å, c = 3.059 Å
α = 90.00°, β = 90.00°, γ = 90.00°
Space group Cmcm (No. 63)
One atom of each set of equivalent atoms:
La1 0.000 0.112 0.250 (multiplicity 4)
B1 0.000 0.250 0.750 (multiplicity 4)
B2 0.000 0.488 0.250 (multiplicity 4)
C1 0.000 0.292 0.250 (multiplicity 4)

Record 12
TlNiB3 | GGA-PBE | relaxed

## Properties
- energy above the most stable polymorph in this dataset (eV/atom) = 0.000
- total moment (Bohr magnetons per cell) = 0.00

a = 4.004 Å, b = 4.004 Å, c = 4.004 Å
α = 90.00°, β = 90.00°, γ = 90.00°
Space group Pm-3m (No. 221)
One atom of each set of equivalent atoms:
Tl1 0.000 0.000 0.000 (multiplicity 1)
Ni1 0.500 0.500 0.500 (multiplicity 1)
B1 0.000 0.500 0.500 (multiplicity 3)